# 1
This record from the Alexandria database describes crystalline Tm3Sn2H2 at its relaxed geometry. The functional is PBE-GGA.

Spin magnetization: 0.0 μB per formula unit
Symmetry: No. 14

```
Tm3Sn2H2
1.0
5.943 0.000 0.000
0.000 9.025 0.000
-3.306 0.000 5.410
Tm Sn H
6 4 4
Cartesian
0.000 0.000 0.000
-1.653 4.512 2.705
-0.149 0.736 3.413
1.504 3.777 0.708
1.134 5.248 4.703
2.787 8.289 1.997
0.154 6.605 1.767
-1.499 6.933 4.472
4.136 2.092 0.939
2.483 2.420 3.644
1.141 0.608 1.695
-0.512 3.905 4.400
3.149 5.120 1.010
1.496 8.417 3.715
```

---

# 2
This record from the Alexandria database describes crystalline Ba8LiIrAu2 at its relaxed geometry. The functional is PBE-GGA.

Spin magnetization: 0.0 μB per formula unit
Symmetry: No. 10
Energy of formation: -276 meV per atom

```
Ba8LiIrAu2
1.0
7.681 0.000 0.000
0.000 9.769 0.000
-0.081 0.000 7.922
Ba Li Ir Au
8 1 1 2
Cartesian
1.697 0.000 2.768
1.890 4.885 2.466
2.006 2.719 6.582
2.006 7.050 6.582
5.594 2.719 1.339
5.594 7.050 1.339
5.710 4.885 5.456
5.903 0.000 5.154
3.840 0.000 0.000
3.840 4.885 0.000
-0.040 2.520 3.961
-0.040 7.249 3.961
```

---

# 3
This record from the Alexandria database describes crystalline BaLa2Fe at its relaxed geometry. The functional is PBE-GGA.

Spin magnetization: 1.7 μB per formula unit
Energy above the most stable polymorph in this dataset: 453.5 meV per atom
Symmetry: No. 216
Energy of formation: 616 meV per atom

```
BaLa2Fe
1.0
0.000 3.965 3.965
3.965 0.000 3.965
3.965 3.965 0.000
Ba La Fe
1 2 1
Cartesian
0.000 0.000 0.000
3.965 3.965 3.965
5.947 5.947 5.947
1.982 1.982 1.982
```

---

# 4
This record from the Alexandria database describes crystalline ZnAsCl2 at its relaxed geometry. The functional is PBE-GGA.

Uncorrected formation energy: 0.063 eV per atom
Spin magnetization: 0.0 μB per formula unit
Energy above the most stable polymorph in this dataset: 488.6 meV per atom
Symmetry: No. 166

```
ZnAsCl2
1.0
1.629 0.940 9.050
-1.629 0.940 9.050
0.000 -1.881 9.050
Zn As Cl
1 1 2
Cartesian
0.000 0.000 0.000
0.000 0.000 13.575
0.000 0.000 2.340
0.000 0.000 24.810
```

---

# 5
This record from the Alexandria database describes crystalline CaZn2Os at its relaxed geometry. The functional is PBE-GGA.

Spin magnetization: 0.0 μB per formula unit
Symmetry: No. 10
Energy of formation: 377 meV per atom

```
CaZn2Os
1.0
5.007 0.000 0.000
0.000 2.899 0.000
-1.897 0.000 4.804
Ca Zn Os
1 2 1
Cartesian
0.000 0.000 0.000
1.555 0.000 2.402
2.503 1.450 0.000
-0.949 1.450 2.402
```

---

# 6
This record from the Alexandria database describes crystalline ZrMoPt at its relaxed geometry. The functional is PBE-GGA.

Spin magnetization: 0.0 μB per formula unit
Energy above the most stable polymorph in this dataset: 168.2 meV per atom
Symmetry: No. 44
Energy of formation: -354 meV per atom

```
ZrMoPt
1.0
-1.720 2.213 7.300
1.720 -2.213 7.300
1.720 2.213 -7.300
Zr Mo Pt
2 2 2
Cartesian
0.000 0.000 0.000
0.000 0.000 5.096
0.000 2.213 2.649
0.000 0.000 11.760
1.720 0.000 2.485
0.000 0.000 7.863
```

---

# 7
This record from the Alexandria database describes crystalline Dy7Ho4Th at its relaxed geometry. The functional is PBE-GGA.

Spin magnetization: 0.0 μB per formula unit
Energy above the most stable polymorph in this dataset: 308.5 meV per atom
Symmetry: No. 12
Energy of formation: 311 meV per atom

```
Dy7Ho4Th
1.0
6.021 -2.950 0.000
6.021 2.950 0.000
-6.000 0.000 11.080
Dy Ho Th
7 4 1
Cartesian
0.000 0.000 0.000
-3.019 0.000 10.223
-1.212 0.000 7.492
1.430 0.000 5.555
4.611 0.000 5.525
7.253 0.000 3.588
9.060 0.000 0.858
-1.122 0.000 3.529
2.999 0.000 2.488
3.042 0.000 8.593
7.163 0.000 7.551
6.021 0.000 0.000
```

---

# 8
This record from the Alexandria database describes crystalline Li3Cd4Ag5 at its relaxed geometry. The functional is PBE-GGA.

Spin magnetization: 0.0 μB per formula unit
Symmetry: No. 12
Energy of formation: -29 meV per atom

```
Li3Cd4Ag5
1.0
4.864 -2.345 0.000
4.864 2.345 0.000
-3.477 0.000 10.054
Li Cd Ag
3 4 5
Cartesian
0.000 0.000 0.000
-0.989 0.000 9.132
7.240 0.000 0.922
-0.964 0.000 6.327
0.303 0.000 2.711
5.949 0.000 7.343
7.215 0.000 3.727
1.714 0.000 5.324
3.162 0.000 2.147
4.864 0.000 0.000
3.089 0.000 7.907
4.537 0.000 4.730
```

---

# 9
This record from the Alexandria database describes crystalline CaLaP2 at its relaxed geometry. The functional is PBE-GGA.

Spin magnetization: 0.0 μB per formula unit
Energy above the most stable polymorph in this dataset: 5.0 meV per atom
Symmetry: No. 123
Energy of formation: -1139 meV per atom

```
CaLaP2
1.0
4.232 0.000 0.000
0.000 4.232 0.000
0.000 0.000 5.897
Ca La P
1 1 2
Cartesian
0.000 0.000 0.000
2.116 2.116 2.949
0.000 0.000 2.949
2.116 2.116 0.000
```

---

# 10
This record from the Alexandria database describes crystalline PuZnGa at its relaxed geometry. The functional is PBE-GGA.

Spin magnetization: 5.6 μB per formula unit
Symmetry: No. 187
Energy of formation: -287 meV per atom

```
PuZnGa
1.0
4.696 0.000 0.000
-2.348 4.067 0.000
0.000 0.000 3.065
Pu Zn Ga
1 1 1
Cartesian
0.000 0.000 0.000
0.000 2.711 1.533
2.348 1.356 1.533
```

---

# 11
This record from the Alexandria database describes crystalline Pm7Mg2Tl2 at its relaxed geometry. The functional is PBE-GGA.

Spin magnetization: 0.0 μB per formula unit
Symmetry: No. 65
Energy of formation: 137 meV per atom

```
Pm7Mg2Tl2
1.0
3.585 -5.784 0.000
3.585 5.784 0.000
0.000 0.000 8.854
Pm Mg Tl
7 2 2
Cartesian
0.000 0.000 0.000
1.792 2.892 2.655
1.792 2.892 6.199
1.792 -2.892 2.655
1.792 -2.892 6.199
3.585 0.000 1.944
3.585 0.000 6.909
3.585 2.583 0.000
3.585 -2.583 0.000
1.531 0.000 4.427
5.639 0.000 4.427
```

---

# 12
This record from the Alexandria database describes crystalline BaY2Pt at its relaxed geometry. The functional is PBE-GGA.

Spin magnetization: 0.0 μB per formula unit
Energy above the most stable polymorph in this dataset: 591.8 meV per atom
Symmetry: No. 12
Energy of formation: 54 meV per atom

```
BaY2Pt
1.0
3.303 -5.670 0.000
3.303 5.670 0.000
-1.848 0.000 3.135
Ba Y Pt
1 2 1
Cartesian
0.000 0.000 0.000
0.728 2.835 1.567
0.728 -2.835 1.567
3.303 0.000 0.000
```

---

| no. | electronic total energy (eV/atom) |
| --- | --- |
| 1 | -4.560 |
| 2 | -3.002 |
| 3 | -4.444 |
| 4 | -2.342 |
| 5 | -3.567 |
| 6 | -8.827 |
| 7 | -4.518 |
| 8 | -2.001 |
| 9 | -5.577 |
| 10 | -6.498 |
| 11 | -3.607 |
| 12 | -5.169 |